Record 1
Material: RbAcTe2O6
Method: DFT, PBE-GGA
State: optimized geometry

```
data_RbAcTe2O6
_symmetry_space_group_name_H-M 'R -3'
_symmetry_Int_Tables_number 148
_symmetry_space_group_name_Hall '-R 3'
_cell_length_a 6.2330
_cell_length_b 6.2330
_cell_length_c 19.2984
_cell_angle_alpha 90.00
_cell_angle_beta 90.00
_cell_angle_gamma 120.00
loop_
_atom_site_label
_atom_site_type_symbol
_atom_site_fract_x
_atom_site_fract_y
_atom_site_fract_z
_atom_site_occupancy
Rb1 Rb 0.0000 0.0000 0.0000 1
Ac1 Ac 0.0000 0.0000 0.5000 1
Te1 Te 0.0000 0.0000 0.2842 1
O1 O 0.0332 0.6057 0.9090 1
```

Calculated values
final energy: -5.924 eV per atom
density of states at the Fermi level: 0.000 states/eV per cell
total magnetic moment: 0.00 μB per formula unit
crystal system: trigonal
formation energy from raw total energies: -1.8131 eV per atom

Record 2
Material: RbAcTe2O8
Method: DFT, PBE-GGA
State: optimized geometry

```
data_RbAcTe2O8
_symmetry_space_group_name_H-M 'P -3'
_symmetry_Int_Tables_number 147
_symmetry_space_group_name_Hall '-P 3'
_cell_length_a 6.2433
_cell_length_b 6.2433
_cell_length_c 8.3015
_cell_angle_alpha 90.00
_cell_angle_beta 90.00
_cell_angle_gamma 120.00
loop_
_atom_site_label
_atom_site_type_symbol
_atom_site_fract_x
_atom_site_fract_y
_atom_site_fract_z
_atom_site_occupancy
Rb1 Rb 0.0000 0.0000 0.0000 1
Ac1 Ac 0.0000 0.0000 0.5000 1
Te1 Te 0.3333 0.6667 0.7737 1
O1 O 0.1723 0.3484 0.6921 1
O2 O 0.3333 0.6667 0.9930 1
```

Calculated values
final energy: -5.836 eV per atom
density of states at the Fermi level: 0.000 states/eV per cell
total magnetic moment: 0.00 μB per formula unit
crystal system: trigonal
formation energy from raw total energies: -1.5842 eV per atom

Record 3
Material: Rb4Ac3ThO8
Method: DFT, PBE-GGA
State: optimized geometry

```
data_Rb4Ac3ThO8
_symmetry_space_group_name_H-M 'R -3 m'
_symmetry_Int_Tables_number 166
_symmetry_space_group_name_Hall '-R 3 2"'
_cell_length_a 7.7607
_cell_length_b 7.7607
_cell_length_c 20.5524
_cell_angle_alpha 90.00
_cell_angle_beta 90.00
_cell_angle_gamma 120.00
loop_
_atom_site_label
_atom_site_type_symbol
_atom_site_fract_x
_atom_site_fract_y
_atom_site_fract_z
_atom_site_occupancy
Rb1 Rb 0.0000 0.0000 0.0000 1
Rb2 Rb 0.0000 0.5000 0.0000 1
Ac1 Ac 0.0000 0.5000 0.5000 1
Th1 Th 0.0000 0.0000 0.5000 1
O1 O 0.0000 0.0000 0.2224 1
O2 O 0.0238 0.5119 0.2223 1
```

Calculated values
final energy: -6.486 eV per atom
density of states at the Fermi level: 9.614 states/eV per cell
total magnetic moment: 0.12 μB per formula unit
crystal system: trigonal
formation energy from raw total energies: -2.5314 eV per atom

Record 4
Material: Rb3Ac3TiO8
Method: DFT, PBE-GGA
State: optimized geometry

```
data_Rb3Ac3TiO8
_symmetry_space_group_name_H-M 'R -3 m'
_symmetry_Int_Tables_number 166
_symmetry_space_group_name_Hall '-R 3 2"'
_cell_length_a 7.3436
_cell_length_b 7.3436
_cell_length_c 19.9755
_cell_angle_alpha 90.00
_cell_angle_beta 90.00
_cell_angle_gamma 120.00
loop_
_atom_site_label
_atom_site_type_symbol
_atom_site_fract_x
_atom_site_fract_y
_atom_site_fract_z
_atom_site_occupancy
Rb1 Rb 0.0000 0.5000 0.0000 1
Ac1 Ac 0.0000 0.5000 0.5000 1
Ti1 Ti 0.0000 0.0000 0.5000 1
O1 O 0.0000 0.0000 0.2302 1
O2 O 0.0543 0.5272 0.2208 1
```

Calculated values
final energy: -6.776 eV per atom
density of states at the Fermi level: 0.000 states/eV per cell
total magnetic moment: 0.00 μB per formula unit
crystal system: trigonal
formation energy from raw total energies: -2.5904 eV per atom

Record 5
Material: Rb2Ac2TiO6
Method: DFT, PBE-GGA
State: optimized geometry

```
data_Rb2Ac2TiO6
_symmetry_space_group_name_H-M 'C 1 2/m 1'
_symmetry_Int_Tables_number 12
_symmetry_space_group_name_Hall '-C 2y'
_cell_length_a 6.284
_cell_length_b 10.642
_cell_length_c 6.900
_cell_angle_alpha 90.00
_cell_angle_beta 103.53
_cell_angle_gamma 90.00
loop_
_atom_site_label
_atom_site_type_symbol
_atom_site_fract_x
_atom_site_fract_y
_atom_site_fract_z
_atom_site_occupancy
Rb1 Rb 0.000 0.156 0.000 1
Ac1 Ac 0.000 0.336 0.500 1
Ti1 Ti 0.000 0.000 0.500 1
O1 O 0.182 0.143 0.660 1
O2 O 0.222 0.000 0.330 1
```

Calculated values
final energy: -6.977 eV per atom
density of states at the Fermi level: 0.000 states/eV per cell
total magnetic moment: 0.00 μB per formula unit
crystal system: monoclinic
formation energy from raw total energies: -2.6319 eV per atom

Record 6
Material: Rb2AcTi2O6
Method: DFT, PBE-GGA
State: optimized geometry

```
data_Rb2AcTi2O6
_symmetry_space_group_name_H-M 'R -3 m'
_symmetry_Int_Tables_number 166
_symmetry_space_group_name_Hall '-R 3 2"'
_cell_length_a 6.4280
_cell_length_b 6.4280
_cell_length_c 19.8925
_cell_angle_alpha 90.00
_cell_angle_beta 90.00
_cell_angle_gamma 120.00
loop_
_atom_site_label
_atom_site_type_symbol
_atom_site_fract_x
_atom_site_fract_y
_atom_site_fract_z
_atom_site_occupancy
Rb1 Rb 0.0000 0.0000 0.2044 1
Ac1 Ac 0.0000 0.0000 0.0000 1
Ti1 Ti 0.0000 0.0000 0.4248 1
O1 O 0.0140 0.5070 0.2534 1
```

Calculated values
final energy: -7.278 eV per atom
total magnetic moment: 1.00 μB per formula unit
crystal system: trigonal
formation energy from raw total energies: -2.5884 eV per atom